one:
Here is an optimized crystal structure of Be2OsBr from Alexandria via LeMat-Bulk. Energies are from PBE-GGA.

DOS at the Fermi energy: 0.691 states/eV per atom

The structure in CIF format:
```
data_Be2OsBr
_space_group_name_H-M_alt 'I 4/m m m'
_space_group_IT_number 139
_space_group_name_Hall '-I 4 2'
_cell_length_a 3.7202
_cell_length_b 3.7202
_cell_length_c 7.5366
_cell_angle_alpha 90.00
_cell_angle_beta 90.00
_cell_angle_gamma 90.00
loop_
_atom_site_label
_atom_site_type_symbol
_atom_site_fract_x
_atom_site_fract_y
_atom_site_fract_z
Be1 Be 0.0000 0.5000 0.2500
Os1 Os 0.0000 0.0000 0.0000
Br1 Br 0.0000 0.0000 0.5000
```

***

two:
Here is an optimized crystal structure of Be2OsBr from Alexandria via LeMat-Bulk. Energies are from PBE-GGA.

DOS at the Fermi energy: 0.674 states/eV per atom

The structure in CIF format:
```
data_Be2OsBr
_space_group_name_H-M_alt 'R -3 m'
_space_group_IT_number 166
_space_group_name_Hall '-R 3 2"'
_cell_length_a 3.0460
_cell_length_b 3.0460
_cell_length_c 20.5523
_cell_angle_alpha 90.00
_cell_angle_beta 90.00
_cell_angle_gamma 120.00
loop_
_atom_site_label
_atom_site_type_symbol
_atom_site_fract_x
_atom_site_fract_y
_atom_site_fract_z
Be1 Be 0.0000 0.0000 0.2433
Os1 Os 0.0000 0.0000 0.5000
Br1 Br 0.0000 0.0000 0.0000
```

***

Calculated relative energies: one 585; two 0, given in meV per atom